Below is Pm2In2BIr4 after structural relaxation, with properties calculated at the PBE-GGA level.

The structure in POSCAR format:
```
Pm2In2BIr4
1.0
6.2008 -0.0643 -0.0928
-3.0328 5.4088 0.0928
-3.0328 -1.8135 5.0966
Pm In B Ir
2 2 1 4
Cartesian
-4.2889 2.5422 3.6692 Pm
-1.7768 1.0532 1.5201 Pm
0.0675 3.5711 1.2973 In
0.0675 -0.0400 3.7993 In
0.0000 0.0000 0.0000 B
-3.0328 3.6955 1.2798 Ir
-1.3679 2.7087 3.9096 Ir
-3.0328 -0.1002 3.9096 Ir
1.5030 0.8224 1.1870 Ir
```

The total magnetization is 0.000 μB per formula unit. As for the calculated formation energy: -245.0 meV/atom.